No. 1
The following is a PBEsol calculation of an optimized crystal structure of TlAg2Te2, from Alexandria via LeMat-Bulk.

## Properties
SG = I4/mmm, No. 139
polymorph energy (0 for the lowest one) = 0 meV/atom
raw formation energy = -0.1060 eV/atom

```
TlAg2Te2
1.0
-2.052 2.052 7.751
2.052 -2.052 7.751
2.052 2.052 -7.751
Tl Ag Te
1 2 2
Direct
0.000 0.000 0.000
0.250 0.750 0.500
0.750 0.250 0.500
0.375 0.375 0.000
0.625 0.625 0.000
```

---

No. 2
The following is a PBEsol calculation of an optimized crystal structure of RbBaNb3, from Alexandria via LeMat-Bulk.

## Properties
SG = Pm-3m, No. 221
DFT total energy = -4.54 eV/atom

```
RbBaNb3
1.0
5.223 0.000 0.000
0.000 5.223 0.000
0.000 0.000 5.223
Rb Ba Nb
1 1 3
Direct
0.000 0.000 0.000
0.500 0.500 0.500
0.000 0.500 0.500
0.500 0.000 0.500
0.500 0.500 0.000
```

---

No. 3
The following is a PBEsol calculation of an optimized crystal structure of SbTePt2, from Alexandria via LeMat-Bulk.

## Properties
SG = I-4m2, No. 119
raw formation energy = 0.1107 eV/atom

```
SbTePt2
1.0
-2.036 2.036 4.670
2.036 -2.036 4.670
2.036 2.036 -4.670
Sb Te Pt
1 1 2
Direct
0.000 0.000 0.000
0.750 0.250 0.500
0.250 0.750 0.500
0.500 0.500 0.000
```

---

No. 4
The following is a PBEsol calculation of an optimized crystal structure of LiTiNbMo2, from Alexandria via LeMat-Bulk.

## Properties
SG = P4/mmm, No. 123
DFT total energy = -7.89 eV/atom

```
LiTiNbMo2
1.0
4.492 0.000 0.000
0.000 4.492 0.000
0.000 0.000 3.719
Li Ti Nb Mo
1 1 1 2
Direct
0.000 0.000 0.000
0.000 0.000 0.500
0.500 0.500 0.500
0.000 0.500 0.000
0.500 0.000 0.000
```

---

No. 5
The following is a PBEsol calculation of an optimized crystal structure of TlAgBi3, from Alexandria via LeMat-Bulk.

## Properties
SG = Pm-3m, No. 221
DFT total energy = -3.32 eV/atom

```
TlAgBi3
1.0
5.503 0.000 0.000
0.000 5.503 0.000
0.000 0.000 5.503
Tl Ag Bi
1 1 3
Direct
0.000 0.000 0.000
0.500 0.500 0.500
0.000 0.500 0.500
0.500 0.000 0.500
0.500 0.500 0.000
```

---

No. 6
The following is a PBEsol calculation of an optimized crystal structure of KInAg4, from Alexandria via LeMat-Bulk.

## Properties
SG = F-43m, No. 216
DFT total energy = -2.85 eV/atom

```
KInAg4
1.0
0.000 3.961 3.961
3.961 0.000 3.961
3.961 3.961 0.000
K In Ag
1 1 4
Direct
0.000 0.000 0.000
0.750 0.750 0.750
0.375 0.375 0.375
0.375 0.375 0.874
0.375 0.874 0.375
0.874 0.375 0.375
```

---

No. 7
The following is a PBEsol calculation of an optimized crystal structure of KGdO2, from Alexandria via LeMat-Bulk.

## Properties
SG = R-3m, No. 166
raw formation energy = -2.7335 eV/atom

```
KGdO2
1.0
1.748 1.009 6.167
-1.748 1.009 6.167
0.000 -2.019 6.167
K Gd O
1 1 2
Direct
0.000 0.000 0.000
0.500 0.500 0.500
0.230 0.230 0.230
0.770 0.770 0.770
```

---

No. 8
The following is a PBEsol calculation of an optimized crystal structure of LiZrOs2, from Alexandria via LeMat-Bulk.

## Properties
SG = I4/mmm, No. 139
DFT total energy = -8.70 eV/atom

```
LiZrOs2
1.0
-1.938 1.938 4.024
1.938 -1.938 4.024
1.938 1.938 -4.024
Li Zr Os
1 1 2
Direct
0.000 0.000 0.000
0.500 0.500 0.000
0.250 0.750 0.500
0.750 0.250 0.500
```

---

No. 9
The following is a PBEsol calculation of an optimized crystal structure of SbS2I, from Alexandria via LeMat-Bulk.

## Properties
SG = R-3m, No. 166
raw formation energy = -0.0431 eV/atom

```
SbS2I
1.0
2.051 1.184 8.027
-2.051 1.184 8.027
0.000 -2.368 8.027
Sb S I
1 2 1
Direct
0.000 0.000 0.000
0.392 0.392 0.392
0.608 0.608 0.608
0.500 0.500 0.500
```

---

No. 10
The following is a PBEsol calculation of an optimized crystal structure of TaAg2Br, from Alexandria via LeMat-Bulk.

## Properties
SG = P4mm, No. 99
polymorph energy (0 for the lowest one) = 0 meV/atom
raw formation energy = 0.2064 eV/atom

```
TaAg2Br
1.0
3.002 0.000 0.000
0.000 3.002 0.000
0.000 0.000 8.450
Ta Ag Br
1 2 1
Direct
0.000 0.000 0.000
0.000 0.000 0.454
0.500 0.500 0.231
0.500 0.500 0.799
```

---

No. 11
The following is a PBEsol calculation of an optimized crystal structure of Na2Er2B2O7, from Alexandria via LeMat-Bulk.

## Properties
SG = P2_1/c, No. 14
raw formation energy = -2.8410 eV/atom

```
Na2Er2B2O7
1.0
10.498 0.000 0.000
0.000 6.146 0.000
-4.681 0.000 8.954
Na Er B O
8 8 8 28
Direct
0.025 0.058 0.261
0.025 0.442 0.761
0.113 0.734 0.051
0.113 0.766 0.551
0.887 0.234 0.449
0.887 0.266 0.949
0.975 0.558 0.239
0.975 0.942 0.739
0.319 0.082 0.915
0.319 0.418 0.415
0.485 0.538 0.183
0.485 0.962 0.683
0.515 0.038 0.317
0.515 0.462 0.817
0.681 0.582 0.585
0.681 0.918 0.085
0.187 0.248 0.583
0.187 0.252 0.083
0.295 0.655 0.854
0.295 0.845 0.354
0.705 0.155 0.646
0.705 0.345 0.146
0.813 0.748 0.917
0.813 0.752 0.417
0.103 0.164 0.945
0.103 0.336 0.445
0.135 0.145 0.668
0.135 0.355 0.168
0.185 0.749 0.867
0.185 0.751 0.367
0.336 0.234 0.135
0.336 0.266 0.635
0.354 0.045 0.416
0.354 0.455 0.916
0.354 0.739 0.273
0.354 0.761 0.773
0.473 0.627 0.596
0.473 0.873 0.096
0.527 0.127 0.904
0.527 0.373 0.404
0.646 0.239 0.227
0.646 0.261 0.727
0.646 0.545 0.084
0.646 0.955 0.584
0.664 0.734 0.365
0.664 0.766 0.865
0.815 0.249 0.633
0.815 0.251 0.133
0.865 0.645 0.832
0.865 0.855 0.332
0.897 0.664 0.555
0.897 0.836 0.055
```

---

No. 12
The following is a PBEsol calculation of an optimized crystal structure of ZrTlMo2, from Alexandria via LeMat-Bulk.

## Properties
SG = P4/mmm, No. 123
polymorph energy (0 for the lowest one) = 0 meV/atom

```
ZrTlMo2
1.0
4.050 0.000 0.000
0.000 4.050 0.000
0.000 0.000 4.359
Zr Tl Mo
1 1 2
Direct
0.000 0.000 0.000
0.500 0.500 0.000
0.000 0.500 0.500
0.500 0.000 0.500
```

---

Magnetic moment per entry: 0.00; 0.32; 0.00; 0.00; 0.00; 0.00; 7.00; 0.00; 0.00; 0.00; 0.00; 0.00 μB/f.u.